## KSrV2Os (PBE)

Data for crystalline KSrV2Os at its relaxed geometry.

Lattice parameters (Å, degrees): 4.7851 4.7851 5.9579 90.00 90.00 90.00
With the nearest neighbours (Å) after each atom.
Element x y z (fractional)
K 0.0000 0.0000 0.0000  2 Os 2.98
Sr 0.5000 0.5000 0.0000  4 K 3.38
V 0.0000 0.5000 0.5000  2 Os 2.39
V 0.5000 0.0000 0.5000  2 Os 2.39
Os 0.0000 0.0000 0.5000  4 V 2.39

Summary:
- Total magnetic moment: 3.9 Bohr magnetons per cell
- SG: P4/mmm (123)
- Electronic total energy: -5.4470 eV per atom
- Energy of formation: 1.0022 eV per atom

=====

## Tb16Nd7Th6 (PBE)

Data for crystalline Tb16Nd7Th6 at its relaxed geometry.

Lattice parameters (Å, degrees): 11.1581 11.1581 11.1581 60.00 60.00 60.00
With the nearest neighbours (Å) after each atom.
Element x y z (fractional)
Tb 0.0261 0.6580 0.6580  3 Nd 3.23, 3 Th 3.53, 3 Tb 3.58
Tb 0.1211 0.1211 0.1211  4 Nd 3.31-3.45, 3 Tb 3.58
Tb 0.1211 0.1211 0.6366  4 Nd 3.31-3.45, 3 Tb 3.58
Tb 0.1211 0.6366 0.1211  4 Nd 3.31-3.45, 3 Tb 3.58
Tb 0.3420 0.3420 0.3420  3 Nd 3.23, 3 Th 3.53, 3 Tb 3.58
Tb 0.3420 0.3420 0.9739  3 Nd 3.23, 3 Th 3.53, 3 Tb 3.58
Tb 0.3420 0.9739 0.3420  3 Nd 3.23, 3 Th 3.53, 3 Tb 3.58
Tb 0.3634 0.8789 0.8789  4 Nd 3.31-3.45, 3 Tb 3.58
Tb 0.6366 0.1211 0.1211  4 Nd 3.31-3.45, 3 Tb 3.58
Tb 0.6580 0.0261 0.6580  3 Nd 3.23, 3 Th 3.53, 3 Tb 3.58
Tb 0.6580 0.6580 0.0261  3 Nd 3.23, 3 Th 3.53, 3 Tb 3.58
Tb 0.6580 0.6580 0.6580  3 Nd 3.23, 3 Th 3.53, 3 Tb 3.58
Tb 0.8789 0.3634 0.8789  4 Nd 3.31-3.45, 3 Tb 3.58
Tb 0.8789 0.8789 0.3634  4 Nd 3.31-3.45, 3 Tb 3.58
Tb 0.8789 0.8789 0.8789  4 Nd 3.31-3.45, 3 Tb 3.58
Tb 0.9739 0.3420 0.3420  3 Nd 3.23, 3 Th 3.53, 3 Tb 3.58
Nd 0.0000 0.0000 0.0000  8 Tb 3.31
Nd 0.0000 0.0000 0.5000  8 Tb 3.23-3.45
Nd 0.0000 0.5000 0.0000  8 Tb 3.23-3.45
Nd 0.0000 0.5000 0.5000  8 Tb 3.23-3.45
Nd 0.5000 0.0000 0.0000  8 Tb 3.23-3.45
Nd 0.5000 0.0000 0.5000  8 Tb 3.23-3.45
Nd 0.5000 0.5000 0.0000  8 Tb 3.23-3.45
Th 0.3312 0.3312 0.6688  4 Tb 3.53, 4 Th 3.77
Th 0.3312 0.6688 0.3312  4 Tb 3.53, 4 Th 3.77
Th 0.3312 0.6688 0.6688  4 Tb 3.53, 4 Th 3.77
Th 0.6688 0.3312 0.3312  4 Tb 3.53, 4 Th 3.77
Th 0.6688 0.3312 0.6688  4 Tb 3.53, 4 Th 3.77
Th 0.6688 0.6688 0.3312  4 Tb 3.53, 4 Th 3.77

Summary:
- Total magnetic moment: 0.0 Bohr magnetons per cell
- SG: Fm-3m (225)
- Electronic total energy: -4.9166 eV per atom
- Energy of formation: 0.3240 eV per atom

=====

## Tb2Pr3Bi3 (PBE)

Data for crystalline Tb2Pr3Bi3 at its relaxed geometry.

Lattice parameters (Å, degrees): 7.5297 7.5297 16.0965 90.00 90.00 144.59
With the nearest neighbours (Å) after each atom.
Element x y z (fractional)
Tb 0.2356 0.7644 0.5948  4 Bi 3.08-3.18
Tb 0.2356 0.7644 0.9052  4 Bi 3.08-3.18
Tb 0.7644 0.2356 0.0948  4 Bi 3.08-3.18
Tb 0.7644 0.2356 0.4052  4 Bi 3.08-3.18
Pr 0.0473 0.9527 0.1165  6 Bi 3.34-3.50
Pr 0.0473 0.9527 0.3835  6 Bi 3.34-3.50
Pr 0.3469 0.6531 0.2500  2 Bi 3.45, 4 Tb 3.59
Pr 0.6531 0.3469 0.7500  2 Bi 3.45, 4 Tb 3.59
Pr 0.9527 0.0473 0.6165  6 Bi 3.34-3.50
Pr 0.9527 0.0473 0.8835  6 Bi 3.34-3.50
Bi 0.3725 0.6275 0.7500  2 Tb 3.18, 4 Pr 3.34
Bi 0.3943 0.6057 0.0397  3 Tb 3.08-3.14, 1 Bi 3.29, 2 Pr 3.41
Bi 0.3943 0.6057 0.4603  3 Tb 3.08-3.14, 1 Bi 3.29, 2 Pr 3.41
Bi 0.6057 0.3943 0.5397  3 Tb 3.08-3.14, 1 Bi 3.29, 2 Pr 3.41
Bi 0.6057 0.3943 0.9603  3 Tb 3.08-3.14, 1 Bi 3.29, 2 Pr 3.41
Bi 0.6275 0.3725 0.2500  2 Tb 3.18, 4 Pr 3.34

Summary:
- Total magnetic moment: 1.0 Bohr magnetons per cell
- SG: Cmcm (63)
- Electronic total energy: -5.0257 eV per atom
- Energy of formation: -0.6205 eV per atom

=====

## Ag2Hg4AsCl5 (PBE)

Data for crystalline Ag2Hg4AsCl5 at its relaxed geometry.

Lattice parameters (Å, degrees): 7.4684 7.3333 7.3333 125.87 90.00 90.00
With the nearest neighbours (Å) after each atom.
Element x y z (fractional)
Ag 0.0000 0.1973 0.8027  5 Cl 2.58-2.79
Ag 0.0000 0.8027 0.1973  5 Cl 2.58-2.79
Hg 0.1789 0.4214 0.4214  1 As 2.64, 1 Hg 2.67
Hg 0.5000 0.1308 0.8491  1 As 2.56, 2 Cl 2.72
Hg 0.5000 0.8491 0.1308  1 As 2.56, 2 Cl 2.72
Hg 0.8211 0.4214 0.4214  1 As 2.64, 1 Hg 2.67
As 0.5000 0.2557 0.2557  4 Hg 2.56-2.64
Cl 0.0000 0.9778 0.9778  2 Ag 2.58
Cl 0.2621 0.5033 0.9029  1 Hg 2.72, 2 Ag 2.73-2.79
Cl 0.2621 0.9029 0.5033  1 Hg 2.72, 2 Ag 2.73-2.79
Cl 0.7379 0.5033 0.9029  1 Hg 2.72, 2 Ag 2.73-2.79
Cl 0.7379 0.9029 0.5033  1 Hg 2.72, 2 Ag 2.73-2.79

Summary:
- Total magnetic moment: 0.0 Bohr magnetons per cell
- SG: Amm2 (38)
- Electronic total energy: -2.0740 eV per atom

=====

## LaSO2F (PBE)

Data for crystalline LaSO2F at its relaxed geometry.

Lattice parameters (Å, degrees): 4.6588 4.6588 4.6598 90.00 90.00 90.00
With the nearest neighbours (Å) after each atom.
Element x y z (fractional)
La 0.0000 0.0000 0.0000  4 O 2.33, 2 F 2.33
S 0.5000 0.5000 0.5000  4 F 3.29, 8 O 3.29
O 0.0000 0.5000 0.0000  2 La 2.33
O 0.5000 0.0000 0.0000  2 La 2.33
F 0.0000 0.0000 0.5000  2 La 2.33

Summary:
- Total magnetic moment: 4.0 Bohr magnetons per cell
- SG: P4/mmm (123)
- Electronic total energy: -5.4350 eV per atom

=====

## PrSm4Ho7 (PBE)

Data for crystalline PrSm4Ho7 at its relaxed geometry.

Lattice parameters (Å, degrees): 6.5707 6.8551 9.0525 84.84 77.04 81.46
With the nearest neighbours (Å) after each atom.
Element x y z (fractional)
Pr 0.0000 0.0000 0.0000  4 Ho 3.43-3.51, 2 Sm 3.44
Sm 0.1641 0.6119 0.3121  8 Ho 3.43-3.83, 2 Sm 3.51-3.56
Sm 0.3622 0.1964 0.7122  7 Ho 3.33-3.68, 1 Pr 3.44, 2 Sm 3.51-3.56
Sm 0.6378 0.8036 0.2878  7 Ho 3.33-3.68, 1 Pr 3.44, 2 Sm 3.51-3.56
Sm 0.8359 0.3881 0.6879  8 Ho 3.43-3.83, 2 Sm 3.51-3.56
Ho 0.0000 0.5000 0.0000  4 Sm 3.43-3.68, 2 Pr 3.43, 4 Ho 3.49-3.71
Ho 0.1894 0.1042 0.3851  5 Ho 3.28-3.63, 5 Sm 3.33-3.67
Ho 0.3177 0.7027 0.6433  5 Ho 3.38-3.71, 4 Sm 3.45-3.56
Ho 0.4851 0.2507 0.0495  5 Ho 3.38-3.60, 4 Sm 3.39-3.73, 1 Pr 3.51
Ho 0.5149 0.7493 0.9505  5 Ho 3.38-3.60, 4 Sm 3.39-3.73, 1 Pr 3.51
Ho 0.6822 0.2973 0.3567  5 Ho 3.38-3.71, 4 Sm 3.45-3.56
Ho 0.8106 0.8958 0.6149  5 Ho 3.28-3.63, 5 Sm 3.33-3.67

Summary:
- Polymorph energy (0 for the lowest one): 0.000 eV/atom
- Total magnetic moment: 0.0 Bohr magnetons per cell
- SG: P-1 (2)
- Electronic total energy: -4.5564 eV per atom
- Energy of formation: 0.0853 eV per atom